# In2IBr2 | the Alexandria database | PBE-GGA | optimized geometry
# - Relative energy among the computed polymorphs: 0.0000 eV per atom
# - M_tot: 0.000 μB per atom
# - Formation energy without anion corrections: -531.0 meV/atom
# - V: 183 Å³/cell
data_In2IBr2
_chemical_formula_sum 'In2 I1 Br2'
_cell_length_a 4.387
_cell_length_b 4.074
_cell_length_c 10.652
_cell_angle_alpha 101.02
_cell_angle_beta 101.76
_cell_angle_gamma 90.00
_space_group_name_H-M_alt 'P 1'
_space_group_IT_number 1
loop_
_space_group_symop_operation_xyz
'x,y,z'
loop_
_atom_site_label
_atom_site_fract_x
_atom_site_fract_y
_atom_site_fract_z
Br1 0.421 0.923 0.846
I1 0.750 0.753 0.506
In1 0.313 0.317 0.633
Br2 0.090 0.093 0.187
In2 0.543 0.547 0.093